No. 1
Entry from OQMD via LeMat-Bulk: a relaxed LiYGaCo crystal (PBE-GGA).

Results
Energy above the lowest structure with this stoichiometry   140.4 meV/atom
Volume   67 Å³/cell
Space group   No. 216

a b c (Å): 4.562 4.562 4.562
angles (deg): 60.00 60.00 60.00
Element x y z (fractional)
Co: 0.750 0.750 0.750
Ga: 0.000 0.000 0.000
Li: 0.500 0.500 0.500
Y: 0.250 0.250 0.250


No. 2
Entry from OQMD via LeMat-Bulk: a relaxed B4MoAu crystal (PBE-GGA).

Results
Energy above the lowest structure with this stoichiometry   206.4 meV/atom
Volume   59 Å³/cell
Space group   No. 71

a b c (Å): 4.795 4.795 4.795
angles (deg): 142.46 116.95 75.75
Element x y z (fractional)
Au: 0.000 0.000 0.000
B: 0.550 0.228 0.322
B: 0.093 0.772 0.322
B: 0.907 0.228 0.678
B: 0.450 0.772 0.678
Mo: 0.500 0.500 0.000


No. 3
Entry from OQMD via LeMat-Bulk: a relaxed SmMgPa crystal (PBE-GGA).

Results
Energy above the lowest structure with this stoichiometry   0.0 meV/atom
Volume   93 Å³/cell
Space group   No. 216

a b c (Å): 5.086 5.086 5.086
angles (deg): 60.00 60.00 60.00
Element x y z (fractional)
Mg: 0.000 0.000 0.000
Pa: 0.250 0.250 0.250
Sm: 0.750 0.750 0.750


No. 4
Entry from OQMD via LeMat-Bulk: a relaxed ZrNb2Ga crystal (PBE-GGA).

Results
Volume   74 Å³/cell
Space group   No. 216

a b c (Å): 4.717 4.717 4.717
angles (deg): 60.00 60.00 60.00
Element x y z (fractional)
Ga: 0.500 0.500 0.500
Nb: 0.000 0.000 0.000
Nb: 0.750 0.750 0.750
Zr: 0.250 0.250 0.250


No. 5
Entry from OQMD via LeMat-Bulk: a relaxed CsTbAu3Se4 crystal (PBE-GGA).

Results
Energy above the lowest structure with this stoichiometry   172.6 meV/atom
Volume   298 Å³/cell
Space group   No. 215

a b c (Å): 6.676 6.676 6.676
angles (deg): 90.00 90.00 90.00
Element x y z (fractional)
Au: 0.500 0.500 0.000
Au: 0.500 0.000 0.500
Au: 0.000 0.500 0.500
Cs: 0.000 0.000 0.000
Se: 0.273 0.273 0.273
Se: 0.727 0.727 0.273
Se: 0.727 0.273 0.727
Se: 0.273 0.727 0.727
Tb: 0.500 0.500 0.500


No. 6
Entry from OQMD via LeMat-Bulk: a relaxed MgTaCuAs crystal (PBE-GGA).

Results
Energy above the lowest structure with this stoichiometry   251.9 meV/atom
Volume   69 Å³/cell
Space group   No. 216

a b c (Å): 4.595 4.595 4.595
angles (deg): 60.00 60.00 60.00
Element x y z (fractional)
As: 0.000 0.000 0.000
Cu: 0.750 0.750 0.750
Mg: 0.250 0.250 0.250
Ta: 0.500 0.500 0.500


| no. | E (eV/cell) |
| --- | --- |
| 1 | -18.87 |
| 2 | -38.76 |
| 3 | -13.06 |
| 4 | -32.29 |
| 5 | -33.86 |
| 6 | -19.12 |